1.
First-principles (PBE) data for a geometry-optimized BeTl2W structure, as listed in the Alexandria database.

## Properties
* offset from the most stable computed form: 153 kJ/mol of formula units

a = 4.040 Å, b = 4.040 Å, c = 9.052 Å
α = 90.00°, β = 90.00°, γ = 90.00°
Space group I4/mmm (No. 139)
Unique sites:
Be  0.000  0.000  0.000 (multiplicity 2)
Tl  0.000  0.500  0.250 (multiplicity 4)
W  0.000  0.000  0.500 (multiplicity 2)

2.
First-principles (PBE) data for a geometry-optimized TcTe2As structure, as listed in the Alexandria database.

## Properties
* raw total energy: -37.1 eV/cell

a = 4.549 Å, b = 4.549 Å, c = 8.032 Å
α = 90.00°, β = 90.00°, γ = 90.00°
Space group I-4m2 (No. 119)
Unique sites:
Tc  0.000  0.000  0.000 (multiplicity 2)
Te  0.000  0.000  0.500 (multiplicity 2)
Te  0.000  0.500  0.750 (multiplicity 2)
As  0.000  0.500  0.250 (multiplicity 2)

3.
First-principles (PBE) data for a geometry-optimized Be2SeBr structure, as listed in the Alexandria database.

## Properties
* offset from the most stable computed form: 356 kJ/mol of formula units

a = 4.535 Å, b = 4.535 Å, c = 3.118 Å
α = 90.00°, β = 90.00°, γ = 90.00°
Space group P4/mmm (No. 123)
Unique sites:
Be  0.000  0.500  0.000 (multiplicity 2)
Se  0.000  0.000  0.500 (multiplicity 1)
Br  0.500  0.500  0.500 (multiplicity 1)

4.
First-principles (PBE) data for a geometry-optimized TmBe17Cr structure, as listed in the Alexandria database.

## Properties
* raw total energy: -236.8 eV/cell

a = 7.4667 Å, b = 7.4667 Å, c = 10.8740 Å
α = 90.00°, β = 90.00°, γ = 120.00°
Space group R3m (No. 160, hexagonal axes)
Unique sites:
Tm  0.0000  0.0000  0.0000 (multiplicity 3)
Be  0.0000  0.0000  0.5578 (multiplicity 3)
Be  0.0000  0.0000  0.7530 (multiplicity 3)
Be  0.0446  0.3720  0.3266 (multiplicity 18)
Be  0.1676  0.3353  0.4932 (multiplicity 9)
Be  0.1706  0.3413  0.8377 (multiplicity 9)
Be  0.1709  0.3418  0.1485 (multiplicity 9)
Cr  0.0000  0.0000  0.3288 (multiplicity 3)

5.
First-principles (PBE) data for a geometry-optimized CuRe2P structure, as listed in the Alexandria database.

## Properties
* raw total energy: -66.0 eV/cell

a = 3.750 Å, b = 3.750 Å, c = 7.702 Å
α = 90.00°, β = 90.00°, γ = 90.00°
Space group I-4m2 (No. 119)
Unique sites:
Cu  0.000  0.000  0.000 (multiplicity 2)
Re  0.000  0.000  0.500 (multiplicity 2)
Re  0.000  0.500  0.250 (multiplicity 2)
P  0.000  0.500  0.750 (multiplicity 2)

6.
First-principles (PBE) data for a geometry-optimized NdThCo2 structure, as listed in the Alexandria database.

## Properties
* offset from the most stable computed form: 61 kJ/mol of formula units

a = 6.904 Å, b = 6.904 Å, c = 6.904 Å
α = 90.00°, β = 90.00°, γ = 90.00°
Space group Fm-3m (No. 225)
Unique sites:
Nd  0.000  0.000  0.000 (multiplicity 4)
Th  0.000  0.000  0.500 (multiplicity 4)
Co  0.250  0.250  0.250 (multiplicity 8)

7.
First-principles (PBE) data for a geometry-optimized NaCuIBr structure, as listed in the Alexandria database.

## Properties
* raw total energy: -11.6 eV/cell

a = 4.472 Å, b = 4.334 Å, c = 6.611 Å
α = 90.00°, β = 90.49°, γ = 90.00°
Space group Pm (No. 6)
Unique sites:
Na  0.000  0.000  0.000 (multiplicity 1)
Cu  0.507  0.500  0.467 (multiplicity 1)
I  0.010  0.500  0.672 (multiplicity 1)
Br  0.504  0.000  0.261 (multiplicity 1)

8.
First-principles (PBE) data for a geometry-optimized AcSc2Bi structure, as listed in the Alexandria database.

## Properties
* offset from the most stable computed form: 47 kJ/mol of formula units

a = 7.612 Å, b = 7.612 Å, c = 7.612 Å
α = 90.00°, β = 90.00°, γ = 90.00°
Space group Fm-3m (No. 225)
Unique sites:
Ac  0.000  0.000  0.000 (multiplicity 4)
Sc  0.250  0.250  0.250 (multiplicity 8)
Bi  0.000  0.000  0.500 (multiplicity 4)

9.
First-principles (PBE) data for a geometry-optimized GaPH2S4 structure, as listed in the Alexandria database.

## Properties
* raw total energy: -33.9 eV/cell

a = 5.285 Å, b = 6.072 Å, c = 6.748 Å
α = 91.72°, β = 107.98°, γ = 113.65°
Space group P1 (No. 1)
Unique sites:
Ga  0.000  0.000  0.000 (multiplicity 1)
P  0.792  0.385  0.223 (multiplicity 1)
H  0.257  0.977  0.724 (multiplicity 1)
H  0.729  0.788  0.316 (multiplicity 1)
S  0.422  0.145  0.292 (multiplicity 1)
S  0.642  0.672  0.112 (multiplicity 1)
S  0.768  0.253  0.922 (multiplicity 1)
S  0.969  0.825  0.691 (multiplicity 1)

10.
First-principles (PBE) data for a geometry-optimized Na3Sr3Li structure, as listed in the Alexandria database.

## Properties
* raw total energy: -21.1 eV/cell

a = 4.274 Å, b = 5.752 Å, c = 24.552 Å
α = 90.00°, β = 90.00°, γ = 90.00°
Space group Imm2 (No. 44)
Unique sites:
Na  0.000  0.000  0.000 (multiplicity 2)
Na  0.000  0.000  0.277 (multiplicity 2)
Na  0.000  0.500  0.076 (multiplicity 2)
Sr  0.000  0.000  0.435 (multiplicity 2)
Sr  0.000  0.000  0.834 (multiplicity 2)
Sr  0.000  0.500  0.648 (multiplicity 2)
Li  0.000  0.500  0.207 (multiplicity 2)

11.
First-principles (PBE) data for a geometry-optimized CoIrSe2 structure, as listed in the Alexandria database.

## Properties
* offset from the most stable computed form: 209 kJ/mol of formula units

a = 5.529 Å, b = 7.629 Å, c = 4.215 Å
α = 90.00°, β = 130.78°, γ = 90.00°
Space group C2/m (No. 12)
Unique sites:
Co  0.000  0.000  0.000 (multiplicity 2)
Ir  0.000  0.500  0.000 (multiplicity 2)
Se  0.250  0.250  0.500 (multiplicity 4)

12.
First-principles (PBE) data for a geometry-optimized K2MnHgI6 structure, as listed in the Alexandria database.

## Properties
* raw total energy: -57.2 eV/cell

a = 8.323 Å, b = 8.675 Å, c = 13.418 Å
α = 90.00°, β = 123.59°, γ = 90.00°
Space group P2_1/c (No. 14)
Unique sites:
K  0.196  0.091  0.235 (multiplicity 4)
Mn  0.000  0.000  0.500 (multiplicity 2)
Hg  0.500  0.000  0.000 (multiplicity 2)
I  0.128  0.218  0.952 (multiplicity 4)
I  0.234  0.669  0.950 (multiplicity 4)
I  0.374  0.014  0.761 (multiplicity 4)

13.
First-principles (PBE) data for a geometry-optimized TaCoSb2 structure, as listed in the Alexandria database.

## Properties
* raw total energy: -26.5 eV/cell

a = 3.581 Å, b = 3.581 Å, c = 5.892 Å
α = 90.00°, β = 90.00°, γ = 90.00°
Space group P4mm (No. 99)
Unique sites:
Ta  0.000  0.000  0.000 (multiplicity 1)
Co  0.500  0.500  0.298 (multiplicity 1)
Sb  0.000  0.000  0.464 (multiplicity 1)
Sb  0.500  0.500  0.808 (multiplicity 1)